Record 1
Ca3TmSe4: optimized geometry, PBE.

The density of states at the Fermi level comes out at 4.8 states/eV per cell. The value obtained for the total energy is -4.9801 eV per atom. As for the density: 4.97 Mg/m³.

CIF file:
```
data_Ca3TmSe4
_cell_length_a 8.323
_cell_length_b 11.737
_cell_length_c 4.138
_cell_angle_alpha 90.00
_cell_angle_beta 90.00
_cell_angle_gamma 90.00
_space_group_name_H-M_alt 'C m m m'
_space_group_IT_number 65
_space_group_name_Hall '-C 2 2'
loop_
_atom_site_label
_atom_site_fract_x
_atom_site_fract_y
_atom_site_fract_z
Ca1 0.000 0.000 0.000
Ca2 0.250 0.250 0.500
Tm1 0.000 0.500 0.000
Se1 0.000 0.255 0.000
Se2 0.242 0.500 0.500
```


Record 2
CaTm2Se4: optimized geometry, PBE.

The value obtained for the total energy is -5.4506 eV per atom. As for the density: 6.21 Mg/m³.

CIF file:
```
data_CaTm2Se4
_cell_length_a 4.027
_cell_length_b 13.285
_cell_length_c 13.865
_cell_angle_alpha 90.00
_cell_angle_beta 90.00
_cell_angle_gamma 90.00
_space_group_name_H-M_alt 'C m c m'
_space_group_IT_number 63
_space_group_name_Hall '-C 2c 2'
loop_
_atom_site_label
_atom_site_fract_x
_atom_site_fract_y
_atom_site_fract_z
Ca1 0.000 0.113 0.250
Tm1 0.000 0.366 0.070
Se1 0.000 0.000 0.000
Se2 0.000 0.273 0.617
Se3 0.000 0.456 0.250
```


Record 3
Ca4Tm3Se8: optimized geometry, PBE.

The density of states at the Fermi level comes out at 11.5 states/eV per cell. The value obtained for the total energy is -5.0861 eV per atom. As for the density: 4.99 Mg/m³.

CIF file:
```
data_Ca4Tm3Se8
_cell_length_a 8.1650
_cell_length_b 8.1650
_cell_length_c 22.4422
_cell_angle_alpha 90.00
_cell_angle_beta 90.00
_cell_angle_gamma 120.00
_space_group_name_H-M_alt 'R -3 m'
_space_group_IT_number 166
_space_group_name_Hall '-R 3 2"'
loop_
_atom_site_label
_atom_site_fract_x
_atom_site_fract_y
_atom_site_fract_z
Ca1 0.0000 0.0000 0.0000
Ca2 0.0000 0.0000 0.1466
Ca3 0.0000 0.0000 0.5000
Tm1 0.0000 0.5000 0.0000
Se1 0.0000 0.0000 0.2682
Se2 0.0091 0.5045 0.2565
```


Record 4
CaTm2Se4: optimized geometry, PBE.

The value obtained for the total energy is -5.4621 eV per atom. As for the density: 5.90 Mg/m³.

CIF file:
```
data_CaTm2Se4
_cell_length_a 8.232
_cell_length_b 8.299
_cell_length_c 11.426
_cell_angle_alpha 90.00
_cell_angle_beta 90.00
_cell_angle_gamma 90.00
_space_group_name_H-M_alt 'I m m a'
_space_group_IT_number 74
_space_group_name_Hall '-I 2b 2'
loop_
_atom_site_label
_atom_site_fract_x
_atom_site_fract_y
_atom_site_fract_z
Ca1 0.000 0.000 0.000
Tm1 0.000 0.000 0.500
Tm2 0.250 0.250 0.250
Se1 0.000 0.014 0.255
Se2 0.240 0.250 0.500
```


Record 5
Ca3Tm4Se8: optimized geometry, PBE.

The density of states at the Fermi level comes out at 7.7 states/eV per cell. The value obtained for the total energy is -5.3320 eV per atom. As for the density: 6.14 Mg/m³.

CIF file:
```
data_Ca3Tm4Se8
_cell_length_a 11.517
_cell_length_b 11.559
_cell_length_c 8.124
_cell_angle_alpha 90.00
_cell_angle_beta 134.47
_cell_angle_gamma 90.00
_space_group_name_H-M_alt 'C 1 2/m 1'
_space_group_IT_number 12
_space_group_name_Hall '-C 2y'
loop_
_atom_site_label
_atom_site_fract_x
_atom_site_fract_y
_atom_site_fract_z
Ca1 0.000 0.000 0.000
Ca2 0.250 0.250 0.000
Tm1 0.000 0.500 0.000
Tm2 0.000 0.500 0.500
Tm3 0.250 0.250 0.500
Se1 0.000 0.252 0.500
Se2 0.000 0.253 0.000
Se3 0.240 0.500 0.989
Se4 0.246 0.500 0.493
```


Record 6
Ca5TmSe6: optimized geometry, PBE.

The density of states at the Fermi level comes out at 7.0 states/eV per cell. The value obtained for the total energy is -4.9088 eV per atom. As for the density: 4.55 Mg/m³.

CIF file:
```
data_Ca5TmSe6
_cell_length_a 7.226
_cell_length_b 12.509
_cell_length_c 7.225
_cell_angle_alpha 90.00
_cell_angle_beta 109.48
_cell_angle_gamma 90.00
_space_group_name_H-M_alt 'C 1 2/m 1'
_space_group_IT_number 12
_space_group_name_Hall '-C 2y'
loop_
_atom_site_label
_atom_site_fract_x
_atom_site_fract_y
_atom_site_fract_z
Ca1 0.000 0.000 0.000
Ca2 0.000 0.166 0.500
Ca3 0.000 0.331 0.000
Tm1 0.000 0.500 0.500
Se1 0.243 0.500 0.255
Se2 0.244 0.337 0.745
```


Record 7
CaTm5Se6: optimized geometry, PBE.

The density of states at the Fermi level comes out at 10.1 states/eV per cell. The value obtained for the total energy is -5.4833 eV per atom. As for the density: 8.07 Mg/m³.

CIF file:
```
data_CaTm5Se6
_cell_length_a 6.970
_cell_length_b 12.105
_cell_length_c 7.023
_cell_angle_alpha 90.00
_cell_angle_beta 109.36
_cell_angle_gamma 90.00
_space_group_name_H-M_alt 'C 1 2/m 1'
_space_group_IT_number 12
_space_group_name_Hall '-C 2y'
loop_
_atom_site_label
_atom_site_fract_x
_atom_site_fract_y
_atom_site_fract_z
Ca1 0.000 0.000 0.000
Tm1 0.000 0.164 0.500
Tm2 0.000 0.332 0.000
Tm3 0.000 0.500 0.500
Se1 0.246 0.500 0.249
Se2 0.247 0.332 0.746
```


Record 8
Ca3YTm2Se6: optimized geometry, PBE.

The density of states at the Fermi level comes out at 8.7 states/eV per cell. The value obtained for the total energy is -5.3790 eV per atom. As for the density: 5.74 Mg/m³.

CIF file:
```
data_Ca3YTm2Se6
_cell_length_a 7.087
_cell_length_b 12.261
_cell_length_c 7.194
_cell_angle_alpha 90.00
_cell_angle_beta 109.20
_cell_angle_gamma 90.00
_space_group_name_H-M_alt 'C 1 2/m 1'
_space_group_IT_number 12
_space_group_name_Hall '-C 2y'
loop_
_atom_site_label
_atom_site_fract_x
_atom_site_fract_y
_atom_site_fract_z
Ca1 0.000 0.000 0.000
Ca2 0.000 0.335 0.000
Y1 0.000 0.500 0.500
Tm1 0.000 0.167 0.500
Se1 0.243 0.000 0.742
Se2 0.250 0.169 0.257
```


Record 9
CaYTm2Se4: optimized geometry, PBE.

The density of states at the Fermi level comes out at 2.8 states/eV per cell. The value obtained for the total energy is -5.6885 eV per atom. As for the density: 6.80 Mg/m³.

CIF file:
```
data_CaYTm2Se4
_cell_length_a 7.054
_cell_length_b 4.057
_cell_length_c 7.066
_cell_angle_alpha 90.00
_cell_angle_beta 109.17
_cell_angle_gamma 90.00
_space_group_name_H-M_alt 'P 1 2/m 1'
_space_group_IT_number 10
_space_group_name_Hall '-P 2y'
loop_
_atom_site_label
_atom_site_fract_x
_atom_site_fract_y
_atom_site_fract_z
Ca1 0.000 0.000 0.000
Y1 0.000 0.500 0.500
Tm1 0.500 0.000 0.500
Tm2 0.500 0.500 0.000
Se1 0.256 0.000 0.753
Se2 0.258 0.500 0.253
```


Record 10
Ca3Y2TmSe6: optimized geometry, PBE.

The density of states at the Fermi level comes out at 9.0 states/eV per cell. The value obtained for the total energy is -5.5612 eV per atom. As for the density: 5.24 Mg/m³.

CIF file:
```
data_Ca3Y2TmSe6
_cell_length_a 7.108
_cell_length_b 12.297
_cell_length_c 7.217
_cell_angle_alpha 90.00
_cell_angle_beta 109.20
_cell_angle_gamma 90.00
_space_group_name_H-M_alt 'C 1 2/m 1'
_space_group_IT_number 12
_space_group_name_Hall '-C 2y'
loop_
_atom_site_label
_atom_site_fract_x
_atom_site_fract_y
_atom_site_fract_z
Ca1 0.000 0.000 0.000
Ca2 0.000 0.332 0.000
Y1 0.000 0.166 0.500
Tm1 0.000 0.500 0.500
Se1 0.246 0.335 0.744
Se2 0.247 0.500 0.255
```


Record 11
Ca4Y3TmSe8: optimized geometry, PBE.

The density of states at the Fermi level comes out at 16.1 states/eV per cell. The value obtained for the total energy is -5.6069 eV per atom. As for the density: 5.12 Mg/m³.

CIF file:
```
data_Ca4Y3TmSe8
_cell_length_a 8.2049
_cell_length_b 8.2049
_cell_length_c 20.4823
_cell_angle_alpha 90.00
_cell_angle_beta 90.00
_cell_angle_gamma 120.00
_space_group_name_H-M_alt 'R -3 m'
_space_group_IT_number 166
_space_group_name_Hall '-R 3 2"'
loop_
_atom_site_label
_atom_site_fract_x
_atom_site_fract_y
_atom_site_fract_z
Ca1 0.0000 0.0000 0.0000
Ca2 0.0000 0.5000 0.0000
Y1 0.0000 0.5000 0.5000
Tm1 0.0000 0.0000 0.5000
Se1 0.0000 0.0000 0.2489
Se2 0.0033 0.5016 0.2481
```


Record 12
Ca2YTmSe4: optimized geometry, PBE.

The density of states at the Fermi level comes out at 3.5 states/eV per cell. The value obtained for the total energy is -5.4687 eV per atom. As for the density: 5.49 Mg/m³.

CIF file:
```
data_Ca2YTmSe4
_cell_length_a 7.090
_cell_length_b 4.094
_cell_length_c 7.210
_cell_angle_alpha 90.00
_cell_angle_beta 109.16
_cell_angle_gamma 90.00
_space_group_name_H-M_alt 'P 1 2/m 1'
_space_group_IT_number 10
_space_group_name_Hall '-P 2y'
loop_
_atom_site_label
_atom_site_fract_x
_atom_site_fract_y
_atom_site_fract_z
Ca1 0.000 0.000 0.000
Ca2 0.500 0.500 0.000
Y1 0.000 0.500 0.500
Tm1 0.500 0.000 0.500
Se1 0.252 0.000 0.745
Se2 0.256 0.500 0.258
```